1.
This record from Alexandria via LeMat-Bulk describes a relaxed structure of Ca3YEr3S8. The functional is PBE.

```
Ca3YEr3S8
1.0
7.8292 0.0000 0.0000
-3.9146 6.7794 -0.0244
0.0000 -4.4973 6.5447
Ca Y Er S
3 1 3 8
direct
0.0000 0.0000 0.0000
0.0000 0.5000 0.0000
0.5000 0.5000 0.0000
0.0000 0.0000 0.5000
0.5000 0.0000 0.5000
0.5000 0.5000 0.5000
0.0000 0.5000 0.5000
0.2530 0.5060 0.2590
0.7470 0.4940 0.7410
0.7534 0.5068 0.2622
0.2466 0.4932 0.7378
0.7534 0.0088 0.2622
0.2466 0.9912 0.7378
0.2554 0.0088 0.2622
0.7446 0.9912 0.7378
```

## Properties
- E: -90.46 eV for the cell shown
- Calculated volume: 23.1 A^3/atom
- Space-group type: R-3m
- Crystal system: trigonal



2.
This record from Alexandria via LeMat-Bulk describes a relaxed structure of CaY2ErS4. The functional is PBE.

```
CaY2ErS4
1.0
-1.1645 3.4527 -1.4154
-4.9902 0.2060 4.6081
5.5635 2.9411 2.5974
Ca Y Er S
1 2 1 4
direct
0.5000 0.5000 0.0000
0.5000 0.0000 0.5000
0.0000 0.5000 0.5000
0.0000 0.0000 0.0000
0.5000 0.2466 0.2465
0.5000 0.7534 0.7535
0.0000 0.2467 0.7503
0.0000 0.7533 0.2497
```

## Properties
- E: -52.11 eV for the cell shown
- Calculated volume: 21.4 A^3/atom
- Space-group type: P2/m
- Crystal system: monoclinic



3.
This record from Alexandria via LeMat-Bulk describes a relaxed structure of CaY4ErS8. The functional is PBE.

```
CaY4ErS8
1.0
8.0921 0.0000 0.0000
4.0461 7.0080 0.0000
4.0461 2.3360 6.5906
Ca Y Er S
1 4 1 8
direct
0.3752 0.3752 0.8745
0.6247 0.6247 0.1258
0.0019 0.4943 0.5018
0.4943 0.0019 0.5018
0.0019 0.0019 0.5018
0.0021 0.0021 0.9937
0.2380 0.7815 0.7425
0.7815 0.2380 0.7425
0.2380 0.2380 0.7425
0.2398 0.2398 0.2805
0.7599 0.2249 0.2553
0.2249 0.7599 0.2553
0.7599 0.7599 0.2553
0.7578 0.7578 0.7266
```

## Properties
- E: -93.55 eV for the cell shown
- Calculated volume: 26.7 A^3/atom
- Space-group type: R3m
- Crystal system: trigonal



4.
This record from Alexandria via LeMat-Bulk describes a relaxed structure of Ca3Y3ErS8. The functional is PBE.

```
Ca3Y3ErS8
1.0
-5.4543 -1.3251 5.5267
4.7003 -5.8562 -2.3784
3.0166 5.9321 4.3980
Ca Y Er S
3 3 1 8
direct
0.0000 0.0000 0.0000
0.0000 0.5000 0.0000
0.5000 0.5000 0.0000
0.5000 0.0000 0.5000
0.5000 0.5000 0.5000
0.0000 0.5000 0.5000
0.0000 0.0000 0.5000
0.2517 0.5033 0.2550
0.7483 0.4967 0.7450
0.7565 0.5130 0.2625
0.2435 0.4870 0.7375
0.7565 0.0060 0.2625
0.2435 0.9940 0.7375
0.2495 0.0060 0.2625
0.7505 0.9940 0.7375
```

## Properties
- E: -94.44 eV for the cell shown
- Calculated volume: 23.5 A^3/atom
- Space-group type: R-3m
- Crystal system: trigonal



5.
This record from Alexandria via LeMat-Bulk describes a relaxed structure of Ca3Er3ZnS8. The functional is PBE.

```
Ca3Er3ZnS8
1.0
7.7819 0.0000 0.0000
-3.8910 6.7379 -0.0243
0.0000 -4.4698 6.5279
Ca Er Zn S
3 3 1 8
direct
0.0000 0.0000 0.0000
0.0000 0.5000 0.0000
0.5000 0.5000 0.0000
0.5000 0.0000 0.5000
0.5000 0.5000 0.5000
0.0000 0.5000 0.5000
0.0000 0.0000 0.5000
0.2531 0.5062 0.2593
0.7469 0.4938 0.7407
0.7624 0.5248 0.2716
0.2376 0.4752 0.7284
0.7622 0.0092 0.2714
0.2378 0.9908 0.7286
0.2470 0.0092 0.2714
0.7530 0.9908 0.7286
```

## Properties
- E: -81.87 eV for the cell shown
- Calculated volume: 22.8 A^3/atom
- Space-group type: R-3m
- Crystal system: trigonal



6.
This record from Alexandria via LeMat-Bulk describes a relaxed structure of Ca5ErSb4. The functional is PBE.

```
Ca5ErSb4
1.0
4.5161 0.0000 1.4422
1.7925 8.1199 2.1790
-0.2554 0.0798 8.5920
Ca Er Sb
5 1 4
direct
0.5936 0.3451 0.9678
0.9064 0.0322 0.6549
0.7500 0.5000 0.5000
0.5936 0.9678 0.3451
0.9064 0.6549 0.0322
0.2500 0.0000 0.0000
0.2500 0.2874 0.7126
0.0075 0.2425 0.2425
0.4925 0.7575 0.7575
0.2500 0.7126 0.2874
```

## Properties
- E: -39.92 eV for the cell shown
- Energy relative to the lowest polymorph listed for this composition: 0.0 meV/atom
- Calculated volume: 31.7 A^3/atom
- Space-group type: Immm
- Crystal system: orthorhombic



7.
This record from Alexandria via LeMat-Bulk describes a relaxed structure of Ca5ErSb4. The functional is PBE.

```
Ca5ErSb4
1.0
-2.5985 4.2669 0.5768
-3.0332 -2.7299 6.5290
10.4914 3.6622 -1.7508
Ca Er Sb
5 1 4
direct
0.8285 0.6579 0.6569
0.8412 0.1671 0.6824
0.1588 0.8329 0.3176
0.5000 0.5000 0.0000
0.1715 0.3421 0.3431
0.5000 0.0000 0.0000
0.3192 0.8815 0.6383
0.9759 0.7060 0.9518
0.6808 0.1185 0.3617
0.0241 0.2940 0.0482
```

## Properties
- E: -39.75 eV for the cell shown
- Energy relative to the lowest polymorph listed for this composition: 17.5 meV/atom
- Calculated volume: 32.9 A^3/atom
- Space-group type: C2/m
- Crystal system: monoclinic



8.
This record from Alexandria via LeMat-Bulk describes a relaxed structure of CaEr4Sb5. The functional is PBE.

```
CaEr4Sb5
1.0
-1.2590 -2.2528 3.5282
5.5797 -2.6855 0.2764
1.4387 10.6144 4.5827
Ca Er Sb
1 4 5
direct
0.0000 0.0000 0.0000
0.4014 0.4014 0.8027
0.7989 0.7989 0.5978
0.2011 0.2011 0.4022
0.5986 0.5986 0.1973
0.6051 0.1051 0.2102
0.8008 0.3008 0.6015
0.1992 0.6992 0.3985
0.0000 0.5000 0.0000
0.3949 0.8949 0.7898
```

## Properties
- E: -51.14 eV for the cell shown
- Calculated volume: 29.8 A^3/atom
- Space-group type: Immm
- Crystal system: orthorhombic



9.
This record from Alexandria via LeMat-Bulk describes a relaxed structure of CaErSb2. The functional is PBE.

```
CaErSb2
1.0
-0.4398 2.1264 -4.0253
2.0794 -1.6780 -3.7119
-5.1363 -3.7313 -4.0083
Ca Er Sb
1 1 2
direct
0.6697 0.6697 0.9908
0.4964 0.4964 0.5107
0.0879 0.0879 0.7362
0.2459 0.2459 0.2623
```

## Properties
- E: -18.14 eV for the cell shown
- Energy relative to the lowest polymorph listed for this composition: 79.3 meV/atom
- Calculated volume: 31.8 A^3/atom
- Space-group type: R3m
- Crystal system: trigonal



10.
This record from Alexandria via LeMat-Bulk describes a relaxed structure of CaErSb2. The functional is PBE.

```
CaErSb2
1.0
-0.4831 -0.4672 -4.2757
-2.2040 -3.3767 -1.5726
-7.3309 2.7873 -1.6669
Sb Ca Er
2 1 1
direct
0.2545 0.2545 0.2364
0.7455 0.7455 0.7636
0.5000 0.5000 0.5000
0.0000 0.0000 0.0000
```

## Properties
- E: -18.46 eV for the cell shown
- Energy relative to the lowest polymorph listed for this composition: 0.0 meV/atom
- Calculated volume: 30.9 A^3/atom
- Space-group type: R-3m
- Crystal system: trigonal



11.
This record from Alexandria via LeMat-Bulk describes a relaxed structure of CaEr5Sb6. The functional is PBE.

```
CaEr5Sb6
1.0
7.5058 0.1812 1.1393
1.8435 6.3527 3.7039
0.1263 0.0632 7.5874
Sb Ca Er
6 1 5
direct
0.7462 0.0850 0.3395
0.2538 0.5756 0.3395
0.2520 0.2558 0.0000
0.7480 0.7442 0.0000
0.7462 0.4244 0.6605
0.2538 0.9150 0.6605
0.0000 0.0000 0.0000
0.5000 0.1640 0.6719
0.0000 0.3322 0.3355
0.5000 0.5000 0.0000
0.0000 0.6678 0.6645
0.5000 0.8360 0.3281
```

## Properties
- E: -62.08 eV for the cell shown
- Calculated volume: 29.7 A^3/atom
- Space-group type: C2/m
- Crystal system: monoclinic



12.
This record from Alexandria via LeMat-Bulk describes a relaxed structure of CaEr2ScSb4. The functional is PBE.

```
CaEr2ScSb4
1.0
-0.6557 5.3720 2.9186
-3.1361 -2.8144 4.4778
7.1427 -2.2897 -0.6588
Ca Er Sc Sb
1 2 1 4
direct
0.9378 0.9378 0.0000
0.1865 0.6865 0.5000
0.6865 0.1865 0.5000
0.4384 0.4384 0.0000
0.9380 0.4381 0.0000
0.4381 0.9380 0.0000
0.1965 0.1965 0.5209
0.6755 0.6755 0.4791
```

## Properties
- E: -41.57 eV for the cell shown
- Calculated volume: 29.1 A^3/atom
- Space-group type: Fmm2
- Crystal system: orthorhombic



13.
This record from Alexandria via LeMat-Bulk describes a relaxed structure of CaSmEr2Sb4. The functional is PBE.

```
CaSmEr2Sb4
1.0
-2.1683 -1.1240 -3.6571
-6.0662 -2.1180 4.2475
-4.6562 6.0232 0.9094
Ca Sm Er Sb
1 1 2 4
direct
0.0000 0.5000 0.5000
0.5000 0.5000 0.0000
0.0000 0.0000 0.0000
0.5000 0.0000 0.5000
0.0000 0.7591 0.7481
0.0000 0.2409 0.2519
0.5000 0.7612 0.2446
0.5000 0.2388 0.7554
```

## Properties
- E: -40.57 eV for the cell shown
- Calculated volume: 30.7 A^3/atom
- Space-group type: P2/m
- Crystal system: monoclinic



14.
This record from Alexandria via LeMat-Bulk describes a relaxed structure of CaSm2ErSb4. The functional is PBE.

```
CaSm2ErSb4
1.0
4.4342 0.0000 0.0000
0.0000 7.6986 -0.1557
0.0000 2.7056 7.2726
Ca Sm Er Sb
1 2 1 4
direct
0.5000 0.5000 0.0000
0.0000 0.0000 0.0000
0.5000 0.0000 0.5000
0.0000 0.5000 0.5000
0.0000 0.7495 0.7446
0.0000 0.2505 0.2554
0.5000 0.7453 0.2562
0.5000 0.2547 0.7438
```

## Properties
- E: -40.82 eV for the cell shown
- Calculated volume: 31.3 A^3/atom
- Space-group type: P2/m
- Crystal system: monoclinic



15.
This record from Alexandria via LeMat-Bulk describes a relaxed structure of CaTb2ErSb4. The functional is PBE.

```
CaTb2ErSb4
1.0
-0.8133 3.6997 2.2143
-4.9505 2.1649 -5.4356
-7.0026 -2.6110 1.7905
Ca Tb Er Sb
1 2 1 4
direct
0.5000 0.5000 0.0000
0.0000 0.0000 0.0000
0.5000 0.0000 0.5000
0.0000 0.5000 0.5000
0.0000 0.7541 0.7434
0.0000 0.2459 0.2566
0.5000 0.7497 0.2545
0.5000 0.2503 0.7455
```

## Properties
- E: -40.57 eV for the cell shown
- Calculated volume: 30.5 A^3/atom
- Space-group type: P2/m
- Crystal system: monoclinic



16.
This record from Alexandria via LeMat-Bulk describes a relaxed structure of CaErTh2Sb4. The functional is PBE.

```
CaErTh2Sb4
1.0
4.4856 0.0000 0.0000
0.0000 7.7815 0.1438
0.0000 -2.7111 7.1950
Ca Er Th Sb
1 1 2 4
direct
0.5000 0.5000 0.0000
0.0000 0.0000 0.0000
0.5000 0.0000 0.5000
0.0000 0.5000 0.5000
0.5000 0.2444 0.2425
0.5000 0.7556 0.7575
0.0000 0.2476 0.7531
0.0000 0.7524 0.2469
```

## Properties
- E: -45.89 eV for the cell shown
- Calculated volume: 31.6 A^3/atom
- Space-group type: P2/m
- Crystal system: monoclinic



17.
This record from Alexandria via LeMat-Bulk describes a relaxed structure of Ca2ErThSb4. The functional is PBE.

```
Ca2ErThSb4
1.0
4.4964 0.0000 0.0000
0.0000 7.7333 0.1162
0.0000 -2.7183 7.3450
Ca Er Th Sb
2 1 1 4
direct
0.5000 0.0000 0.5000
0.0000 0.5000 0.5000
0.5000 0.5000 0.0000
0.0000 0.0000 0.0000
0.5000 0.2533 0.2432
0.5000 0.7467 0.7568
0.0000 0.2591 0.7612
0.0000 0.7409 0.2388
```

## Properties
- E: -40.05 eV for the cell shown
- Calculated volume: 32.1 A^3/atom
- Space-group type: P2/m
- Crystal system: monoclinic



18.
This record from Alexandria via LeMat-Bulk describes a relaxed structure of CaEr2TmSb4. The functional is PBE.

```
CaEr2TmSb4
1.0
4.3528 0.0000 0.0000
0.0000 7.6194 -0.1772
0.0000 2.6550 7.1524
Ca Er Tm Sb
1 2 1 4
direct
0.5000 0.5000 0.0000
0.0000 0.0000 0.0000
0.5000 0.0000 0.5000
0.0000 0.5000 0.5000
0.0000 0.7571 0.7421
0.0000 0.2429 0.2579
0.5000 0.7524 0.2540
0.5000 0.2476 0.7460
```

## Properties
- E: -40.11 eV for the cell shown
- Calculated volume: 29.9 A^3/atom
- Space-group type: P2/m
- Crystal system: monoclinic



19.
This record from Alexandria via LeMat-Bulk describes a relaxed structure of Ca2ErZrSb4. The functional is PBE.

```
Ca2ErZrSb4
1.0
4.2823 0.0000 0.0000
0.0000 7.4774 0.1507
0.0000 -2.5964 7.3640
Ca Er Zr Sb
2 1 1 4
direct
0.5000 0.0000 0.5000
0.0000 0.5000 0.5000
0.5000 0.5000 0.0000
0.0000 0.0000 0.0000
0.5000 0.2339 0.2282
0.5000 0.7661 0.7718
0.0000 0.2463 0.7668
0.0000 0.7537 0.2332
```

## Properties
- E: -40.54 eV for the cell shown
- Calculated volume: 29.7 A^3/atom
- Space-group type: P2/m
- Crystal system: monoclinic



20.
This record from Alexandria via LeMat-Bulk describes a relaxed structure of CaEr4ScSe8. The functional is PBE.

```
CaEr4ScSe8
1.0
8.3811 0.0000 0.0000
4.1905 7.2582 0.0000
4.1905 2.4194 6.7302
Ca Er Sc Se
1 4 1 8
direct
0.3778 0.3778 0.8665
0.6229 0.6229 0.1312
0.0024 0.4932 0.5021
0.4932 0.0024 0.5021
0.0024 0.0024 0.5021
0.0026 0.0026 0.9921
0.2340 0.7841 0.7479
0.7841 0.2340 0.7479
0.2340 0.2340 0.7479
0.2406 0.2406 0.2783
0.7626 0.2236 0.2512
0.2236 0.7626 0.2512
0.7626 0.7626 0.2512
0.7572 0.7572 0.7284
```

## Properties
- E: -79.05 eV for the cell shown
- Calculated volume: 29.2 A^3/atom
- Space-group type: R3m
- Crystal system: trigonal



21.
This record from Alexandria via LeMat-Bulk describes a relaxed structure of Ca2ErScSe4. The functional is PBE.

```
Ca2ErScSe4
1.0
4.0481 0.0000 0.0000
0.0000 6.9965 0.1150
0.0000 -2.4526 6.7009
Ca Er Sc Se
2 1 1 4
direct
0.5000 0.0000 0.5000
0.0000 0.5000 0.5000
0.5000 0.5000 0.0000
0.0000 0.0000 0.0000
0.5000 0.2403 0.2357
0.5000 0.7597 0.7643
0.0000 0.2484 0.7606
0.0000 0.7516 0.2394
```

## Properties
- E: -43.34 eV for the cell shown
- Calculated volume: 23.9 A^3/atom
- Space-group type: P2/m
- Crystal system: monoclinic



22.
This record from Alexandria via LeMat-Bulk describes a relaxed structure of CaErSc2Se4. The functional is PBE.

```
CaErSc2Se4
1.0
-1.2520 3.5090 1.3716
-4.4722 -3.2234 4.1646
3.0673 -1.2780 6.0696
Ca Er Sc Se
1 1 2 4
direct
0.0000 0.5000 0.5000
0.5000 0.5000 0.0000
0.0000 0.0000 0.0000
0.5000 0.0000 0.5000
0.0000 0.7624 0.7481
0.0000 0.2376 0.2519
0.5000 0.7647 0.2423
0.5000 0.2353 0.7577
```

## Properties
- E: -46.83 eV for the cell shown
- Calculated volume: 22.4 A^3/atom
- Space-group type: P2/m
- Crystal system: monoclinic



23.
This record from Alexandria via LeMat-Bulk describes a relaxed structure of Ca3Er2ScSe6. The functional is PBE.

```
Ca3Er2ScSe6
1.0
-6.2613 0.1566 3.1881
1.7673 -5.5084 -3.9909
4.1749 -1.2685 5.6700
Ca Er Sc Se
3 2 1 6
direct
0.1684 0.8316 0.5000
0.8316 0.1684 0.5000
0.5000 0.5000 0.5000
0.3336 0.6664 0.0000
0.6664 0.3336 0.0000
0.0000 0.0000 0.0000
0.9205 0.5928 0.7613
0.7523 0.7523 0.2401
0.0795 0.4072 0.2387
0.5928 0.9205 0.7613
0.2477 0.2477 0.7599
0.4072 0.0795 0.2387
```

## Properties
- E: -64.29 eV for the cell shown
- Calculated volume: 24.1 A^3/atom
- Space-group type: C2/m
- Crystal system: monoclinic